VASP calculation (GGA-PBE) on an optimized crystal structure of Sr2WAu.

a b c (Å): 4.6130 4.8422 11.1843
angles (deg): 90.00 90.00 90.00
Space group Amm2 (No. 38)
Inequivalent atoms, fractional coordinates:
Sr (0.0000, 0.0000, 0.0000)
Sr (0.5000, 0.0000, 0.2965)
W (0.0000, 0.0000, 0.6931)
Au (0.5000, 0.0000, 0.5967)

Calculated values
ρ, g/cm3: 7.4
V, Å³/f.u.: 125
Offset from the most stable computed form, eV per atom: 0.000
E_form, eV/f.u.: 2.0